! LaPbBr6 (PBE, relaxed); values from VASP
&SYSTEM
  ibrav = 0, nat = 8, ntyp = 3
/
ATOMIC_SPECIES
Br 79.90 Br.upf
La 138.91 La.upf
Pb 207.20 Pb.upf
CELL_PARAMETERS angstrom
7.218 0.007 0.010
3.599 6.256 0.014
3.597 2.079 6.685
ATOMIC_POSITIONS angstrom
Br 9.622 4.133 1.693
Br 8.444 6.238 5.023
Br 6.037 6.282 1.690
La 0.000 0.000 0.000
Br 8.378 2.059 5.018
Br 5.970 2.103 1.685
Pb 7.207 4.171 3.354
Br 4.793 4.208 5.015
! Raw total energy (eV per atom): -3.55
! Crystal system: trigonal
! Magnetization (μB/cell): 0.00


! LaPbBr2 (PBE, relaxed); values from VASP
&SYSTEM
  ibrav = 0, nat = 8, ntyp = 3
/
ATOMIC_SPECIES
La 138.91 La.upf
Br 79.90 Br.upf
Pb 207.20 Pb.upf
CELL_PARAMETERS angstrom
7.230 0.000 0.000
0.000 7.230 0.000
3.615 3.615 7.045
ATOMIC_POSITIONS angstrom
La 3.615 3.615 0.000
Br 4.998 1.808 1.761
Pb 0.000 0.000 0.000
Pb 7.230 3.615 3.522
Br 2.232 5.423 1.761
Br 9.038 8.613 5.284
Br 5.423 5.847 5.284
La 3.615 7.230 3.522
! Excess energy over the best structure of this formula in the dataset (meV/atom): 550
! Raw total energy (eV per atom): -3.57
! Crystal system: tetragonal
! Magnetization (μB/cell): 0.00


! LaPdPb2Br (PBE, relaxed); values from VASP
&SYSTEM
  ibrav = 0, nat = 5, ntyp = 4
/
ATOMIC_SPECIES
La 138.91 La.upf
Br 79.90 Br.upf
Pb 207.20 Pb.upf
Pd 106.42 Pd.upf
CELL_PARAMETERS angstrom
6.354 0.000 0.000
0.000 5.139 0.000
0.000 0.000 6.354
ATOMIC_POSITIONS angstrom
La 0.000 0.000 0.000
Br 3.177 2.570 3.177
Pb 3.177 0.000 0.000
Pd 0.000 2.570 0.000
Pb 0.000 0.000 3.177
! Raw total energy (eV per atom): -3.39
! Crystal system: tetragonal
! Magnetization (μB/cell): 0.00


! LaPrPbBr (PBE, relaxed); values from VASP
&SYSTEM
  ibrav = 0, nat = 4, ntyp = 4
/
ATOMIC_SPECIES
Br 79.90 Br.upf
Pr 140.91 Pr.upf
Pb 207.20 Pb.upf
La 138.91 La.upf
CELL_PARAMETERS angstrom
5.545 0.000 0.000
2.773 4.802 0.000
2.773 1.601 4.528
ATOMIC_POSITIONS angstrom
Br 8.318 4.802 3.396
Pr 0.000 0.000 0.000
Pb 2.773 1.601 1.132
La 5.545 3.201 2.264
! Raw total energy (eV per atom): -4.64
! Crystal system: cubic
! Magnetization (μB/cell): 0.00


! Rb2LaPbBr6 (PBE, relaxed); values from VASP
&SYSTEM
  ibrav = 0, nat = 10, ntyp = 4
/
ATOMIC_SPECIES
Br 79.90 Br.upf
Rb 85.47 Rb.upf
La 138.91 La.upf
Pb 207.20 Pb.upf
CELL_PARAMETERS angstrom
8.391 0.000 0.000
0.000 8.391 0.000
4.195 4.195 6.598
ATOMIC_POSITIONS angstrom
Br 6.259 2.132 0.000
Rb 4.195 8.391 3.299
Br 8.391 8.391 3.672
Br 2.132 2.132 0.000
Rb 8.391 4.195 3.299
La 4.195 4.195 0.000
Br 6.259 6.259 0.000
Br 4.195 4.195 2.926
Br 2.132 6.259 0.000
Pb 0.000 0.000 0.000
! Raw total energy (eV per atom): -3.53
! Crystal system: tetragonal
! Magnetization (μB/cell): 1.00


! RbLaPb2Br8 (PBE, relaxed); values from VASP
&SYSTEM
  ibrav = 0, nat = 12, ntyp = 4
/
ATOMIC_SPECIES
Br 79.90 Br.upf
Pb 207.20 Pb.upf
Rb 85.47 Rb.upf
La 138.91 La.upf
CELL_PARAMETERS angstrom
7.362 0.024 -0.004
0.080 7.011 -0.006
0.008 0.013 9.459
ATOMIC_POSITIONS angstrom
Br 2.791 1.913 4.728
Pb 3.723 3.521 2.393
Br 1.238 5.285 7.373
Br 4.659 5.136 4.721
Pb 3.727 3.527 7.056
Rb 0.004 0.007 4.729
La 0.000 0.000 0.000
Br 1.231 5.276 2.077
Br 6.212 1.763 2.076
Br 2.435 1.759 -0.002
Br 5.015 5.289 9.451
Br 6.219 1.772 7.371
! Raw total energy (eV per atom): -3.62
! Crystal system: monoclinic
! Magnetization (μB/cell): 0.00


! RbLa2PbBr (PBE, relaxed); values from VASP
&SYSTEM
  ibrav = 0, nat = 5, ntyp = 4
/
ATOMIC_SPECIES
Rb 85.47 Rb.upf
Pb 207.20 Pb.upf
La 138.91 La.upf
Br 79.90 Br.upf
CELL_PARAMETERS angstrom
-5.023 -3.284 0.903
2.074 -4.868 -6.167
3.033 -3.582 3.847
ATOMIC_POSITIONS angstrom
Rb 0.042 -5.867 -0.708
Pb 0.000 0.000 0.000
La -2.512 -1.642 0.451
Br 1.037 -2.434 -3.083
La 1.516 -1.791 1.924
! Raw total energy (eV per atom): -3.22
! Crystal system: tetragonal
! Magnetization (μB/cell): 0.00


! La3RhPbBr (PBE, relaxed); values from VASP
&SYSTEM
  ibrav = 0, nat = 12, ntyp = 4
/
ATOMIC_SPECIES
Br 79.90 Br.upf
La 138.91 La.upf
Rh 102.91 Rh.upf
Pb 207.20 Pb.upf
CELL_PARAMETERS angstrom
-2.697 0.488 -3.750
-6.487 -1.792 4.432
1.774 10.303 0.066
ATOMIC_POSITIONS angstrom
Br -0.442 6.244 -0.307
La -7.810 -0.239 1.271
La -2.581 8.002 1.460
Rh -2.244 8.882 -1.544
La 0.401 9.238 -0.523
Br -6.968 2.755 1.055
La -4.829 0.997 -0.712
La -3.048 5.088 -1.460
Rh -5.165 0.118 2.292
Pb -5.509 6.605 0.507
La -4.362 3.911 2.208
Pb -1.901 2.394 0.241
! Raw total energy (eV per atom): -5.41
! Crystal system: monoclinic
! Magnetization (μB/cell): 1.06


What is the magnetization in the fourth record? 0.00 μB/cell